P.
The following is a DFT calculation (PBE-GGA) of a geometry-optimized Bi2AsBr structure.

Calculated values
For the total moment, the calculation gives 0.0 μB/cell. The calculated density is 7.4 Mg/m³. The value obtained for the calculated volume is 31.95 Å³ per atom.

Unit cell a=9.369 b=16.565 c=7.297 alpha=90.00 beta=115.46 gamma=90.00
Space group C2/c (No. 15)
Symmetry-distinct sites (fractional):
1 Bi 0.229 0.070 0.188 [8 per cell]
2 Bi 0.239 0.182 0.823 [8 per cell]
3 As 0.000 0.055 0.750 [4 per cell]
4 As 0.000 0.305 0.750 [4 per cell]
5 Br 0.000 0.182 0.250 [4 per cell]
6 Br 0.000 0.457 0.250 [4 per cell]


Q.
The following is a DFT calculation (PBE-GGA) of a geometry-optimized Bi2AsBr structure.

Calculated values
For the total moment, the calculation gives 0.0 μB/cell. The calculated density is 9.0 Mg/m³. The value obtained for the calculated volume is 26.48 Å³ per atom.

Unit cell a=7.511 b=7.511 c=7.511 alpha=90.00 beta=90.00 gamma=90.00
Space group Fm-3m (No. 225)
Symmetry-distinct sites (fractional):
1 Bi 0.250 0.250 0.250 [8 per cell]
2 As 0.000 0.000 0.000 [4 per cell]
3 Br 0.000 0.000 0.500 [4 per cell]


Of them, P has the highest stability.


P.
The following is a DFT calculation (PBE-GGA) of a geometry-optimized BiAsBr2 structure.

Calculated values
For the total moment, the calculation gives 0.0 μB/cell. The calculated density is 6.5 Mg/m³. The value obtained for the calculated volume is 28.30 Å³ per atom.

Unit cell a=8.312 b=8.312 c=6.553 alpha=90.00 beta=90.00 gamma=90.00
Space group I-42d (No. 122)
Symmetry-distinct sites (fractional):
1 Bi 0.000 0.000 0.000 [4 per cell]
2 As 0.000 0.000 0.500 [4 per cell]
3 Br 0.240 0.250 0.625 [8 per cell]


Q.
The following is a DFT calculation (PBE-GGA) of a geometry-optimized BiAsBr2 structure.

Calculated values
For the total moment, the calculation gives 0.0 μB/cell. The calculated density is 6.6 Mg/m³. The value obtained for the calculated volume is 27.78 Å³ per atom.

Unit cell a=3.5225 b=3.5225 c=31.0194 alpha=90.00 beta=90.00 gamma=120.00
Space group R-3m (No. 166, hexagonal axes)
Symmetry-distinct sites (fractional):
1 Bi 0.0000 0.0000 0.0000 [3 per cell]
2 As 0.0000 0.0000 0.5000 [3 per cell]
3 Br 0.0000 0.0000 0.0945 [6 per cell]


R.
The following is a DFT calculation (PBE-GGA) of a geometry-optimized BiAsBr2 structure.

Calculated values
For the total moment, the calculation gives 0.0 μB/cell. The calculated density is 7.2 Mg/m³. The value obtained for the calculated volume is 25.69 Å³ per atom.

Unit cell a=7.435 b=7.435 c=7.435 alpha=90.00 beta=90.00 gamma=90.00
Space group Fm-3m (No. 225)
Symmetry-distinct sites (fractional):
1 Bi 0.000 0.000 0.000 [4 per cell]
2 As 0.000 0.000 0.500 [4 per cell]
3 Br 0.250 0.250 0.250 [8 per cell]


Of them, Q has the highest stability.


P.
The following is a DFT calculation (PBE-GGA) of a geometry-optimized BiAs3Br structure.

Calculated values
For the total moment, the calculation gives 0.0 μB/cell. The calculated density is 6.4 Mg/m³. The value obtained for the calculated volume is 26.76 Å³ per atom.

Unit cell a=5.115 b=5.115 c=5.115 alpha=90.00 beta=90.00 gamma=90.00
Space group Pm-3m (No. 221)
Symmetry-distinct sites (fractional):
1 Bi 0.000 0.000 0.000 [1 per cell]
2 As 0.000 0.500 0.500 [3 per cell]
3 Br 0.500 0.500 0.500 [1 per cell]


Q.
The following is a DFT calculation (PBE-GGA) of a geometry-optimized BiAs3Br structure.

Calculated values
For the total moment, the calculation gives 0.0 μB/cell. The calculated density is 5.1 Mg/m³. The value obtained for the calculated volume is 33.72 Å³ per atom.

Unit cell a=5.525 b=5.525 c=5.525 alpha=90.00 beta=90.00 gamma=90.00
Space group Pm-3m (No. 221)
Symmetry-distinct sites (fractional):
1 Bi 0.000 0.000 0.000 [1 per cell]
2 As 0.000 0.000 0.500 [3 per cell]
3 Br 0.500 0.500 0.500 [1 per cell]


Of them, P has the highest stability.


P.
The following is a DFT calculation (PBE-GGA) of a geometry-optimized BiAsBr structure.

Calculated values
For the total moment, the calculation gives 0.0 μB/cell. The calculated density is 6.7 Mg/m³. The value obtained for the calculated volume is 29.94 Å³ per atom.

Unit cell a=10.410 b=4.280 c=9.262 alpha=90.00 beta=119.46 gamma=90.00
Space group C2/m (No. 12)
Symmetry-distinct sites (fractional):
1 Bi 0.217 0.000 0.259 [4 per cell]
2 As 0.126 0.000 0.523 [4 per cell]
3 Br 0.073 0.500 0.864 [4 per cell]


Q.
The following is a DFT calculation (PBE-GGA) of a geometry-optimized BiAsBr structure.

Calculated values
For the total moment, the calculation gives 0.0 μB/cell. The calculated density is 6.8 Mg/m³. The value obtained for the calculated volume is 29.49 Å³ per atom.

Unit cell a=4.286 b=4.632 c=8.927 alpha=86.87 beta=89.98 gamma=89.45
Space group P-1 (No. 2)
Symmetry-distinct sites (fractional):
1 Bi 0.246 0.337 0.284 [2 per cell]
2 As 0.251 0.777 0.495 [2 per cell]
3 Br 0.251 0.256 0.866 [2 per cell]


Of them, P has the highest stability.